# TmSc3Pd2

An optimized crystal structure of TmSc3Pd2 (PBE-GGA, the Alexandria database).

```
TmSc3Pd2
1.0
4.629 0.000 0.000
0.000 8.309 0.000
0.000 0.000 6.715
Tm Sc Pd
2 6 4
Cartesian
0.000 0.598 0.000 Tm
0.000 7.711 3.358 Tm
0.000 2.765 4.222 Sc
0.000 5.543 0.864 Sc
2.315 1.506 2.268 Sc
2.315 3.558 6.466 Sc
2.315 4.751 3.109 Sc
2.315 6.802 5.626 Sc
0.000 2.907 1.526 Pd
0.000 5.402 4.883 Pd
2.315 1.276 4.949 Pd
2.315 7.032 1.591 Pd
```

The value obtained for the energy is -6.291 eV per atom. As for the density: 6643 kg/m3. The value obtained for the relative energy among the computed polymorphs is 0.000 eV per atom. Its density of states at the Fermi level is 14.53 states/eV per cell. The value obtained for the formation energy is -0.6495 eV/atom. The calculation puts the total magnetization at 0.00 μB/f.u.